(1)
! HoEr2Tl2Ag2 PBE-GGA relaxed; values from VASP
&SYSTEM
  ibrav = 0, nat = 7, ntyp = 4
/
ATOMIC_SPECIES
Ag 107.87 Ag.upf
Tl 204.38 Tl.upf
Er 167.26 Er.upf
Ho 164.93 Ho.upf
CELL_PARAMETERS angstrom
4.889 0.000 0.000
2.445 4.234 0.000
2.445 1.411 8.522
ATOMIC_POSITIONS angstrom
Ag 4.889 2.823 5.918
Ag 4.889 2.823 2.604
Tl 7.334 4.234 6.794
Tl 2.445 1.411 1.728
Er 7.334 4.234 3.391
Er 2.445 1.411 5.131
Ho 0.000 0.000 0.000
! magnetization: 0.0 μB/cell
! formation enthalpy at 0 K: -12.9 kJ per mole of atoms

(2)
! HoErTmAg PBE-GGA relaxed; values from VASP
&SYSTEM
  ibrav = 0, nat = 4, ntyp = 4
/
ATOMIC_SPECIES
Ho 164.93 Ho.upf
Ag 107.87 Ag.upf
Er 167.26 Er.upf
Tm 168.93 Tm.upf
CELL_PARAMETERS angstrom
-3.674 2.056 3.256
-4.778 1.366 -1.904
-4.299 -2.855 1.302
ATOMIC_POSITIONS angstrom
Ho -6.375 0.284 1.326
Ag -3.188 0.142 0.663
Er 0.000 0.000 0.000
Tm -9.563 0.425 1.990
! ΔE to the lowest computed polymorph: 188 meV/atom
! magnetization: 0.0 μB/cell
! formation enthalpy at 0 K: 5.0 kJ per mole of atoms

(3)
! HoErTmAg PBE-GGA relaxed; values from VASP
&SYSTEM
  ibrav = 0, nat = 4, ntyp = 4
/
ATOMIC_SPECIES
Ag 107.87 Ag.upf
Tm 168.93 Tm.upf
Er 167.26 Er.upf
Ho 164.93 Ho.upf
CELL_PARAMETERS angstrom
-0.421 2.336 -2.599
-2.871 1.263 1.600
4.977 5.768 4.379
ATOMIC_POSITIONS angstrom
Ag 2.833 3.283 2.492
Tm 0.128 3.855 1.061
Er 2.271 6.339 2.946
Ho 0.359 0.417 0.316
! ΔE to the lowest computed polymorph: 0 meV/atom
! magnetization: 0.0 μB/cell
! formation enthalpy at 0 K: -13.2 kJ per mole of atoms

(4)
! HoErZnAg PBE-GGA relaxed; values from VASP
&SYSTEM
  ibrav = 0, nat = 4, ntyp = 4
/
ATOMIC_SPECIES
Ho 164.93 Ho.upf
Zn 65.41 Zn.upf
Ag 107.87 Ag.upf
Er 167.26 Er.upf
CELL_PARAMETERS angstrom
-3.635 3.501 -0.430
-2.299 0.729 -4.454
-4.822 -1.419 -0.623
ATOMIC_POSITIONS angstrom
Ho -8.066 2.108 -4.130
Zn 0.000 0.000 0.000
Ag -5.378 1.405 -2.754
Er -2.689 0.703 -1.377
! magnetization: 0.0 μB/cell
! formation enthalpy at 0 K: -31.9 kJ per mole of atoms

| no. | calculated volume (Å³ per cell) |
| --- | --- |
| 1 | 176.4 |
| 2 | 106.6 |
| 3 | 108.9 |
| 4 | 91.9 |